# 1
Compound: CdBiS2
Source: Alexandria via LeMat-Bulk
Functional: PBE
Structure: relaxed

Output
Energy above the most stable polymorph in this dataset   190 meV per atom
Symmetry   No. 225
Formation energy (no corrections)   -0.173 eV/f.u.
Fermi-level density of states   2.4 states/eV/cell
Volume   21.419 Å³/atom

abc: 4.9483 4.9483 4.9483
angles: 60.00 60.00 60.00
Atoms (fractional coordinates):
S (0.7500, 0.7500, 0.7500)
S (0.2500, 0.2500, 0.2500)
Cd (0.0000, 0.0000, 0.0000)
Bi (0.5000, 0.5000, 0.5000)


# 2
Compound: CdBi2S2
Source: Alexandria via LeMat-Bulk
Functional: PBE
Structure: relaxed

Output
Symmetry   No. 127
Formation energy (no corrections)   0.349 eV/f.u.
Fermi-level density of states   6.5 states/eV/cell
Volume   24.982 Å³/atom

abc: 8.1845 8.1845 3.7294
angles: 90.00 90.00 90.00
Atoms (fractional coordinates):
Bi (0.1790, 0.6790, 0.5000)
S (0.1439, 0.3561, 0.0000)
S (0.3561, 0.8561, 0.0000)
S (0.6439, 0.1439, 0.0000)
Cd (0.5000, 0.5000, 0.0000)
Cd (0.0000, 0.0000, 0.0000)
Bi (0.6790, 0.8210, 0.5000)
Bi (0.3210, 0.1790, 0.5000)
S (0.8561, 0.6439, 0.0000)
Bi (0.8210, 0.3210, 0.5000)


# 3
Compound: CdBiS2
Source: Alexandria via LeMat-Bulk
Functional: PBE
Structure: relaxed

Output
Energy above the most stable polymorph in this dataset   92 meV per atom
Symmetry   No. 166
Formation energy (no corrections)   -0.566 eV/f.u.
Fermi-level density of states   2.2 states/eV/cell
Volume   30.088 Å³/atom

abc: 8.5864 8.5864 8.5864
angles: 27.65 27.65 27.65
Atoms (fractional coordinates):
Bi (0.5000, 0.5000, 0.5000)
S (0.8971, 0.8971, 0.8971)
S (0.1029, 0.1029, 0.1029)
Cd (0.0000, 0.0000, 0.0000)


# 4
Compound: CdBiS2
Source: Alexandria via LeMat-Bulk
Functional: PBE
Structure: relaxed

Output
Energy above the most stable polymorph in this dataset   51 meV per atom
Symmetry   No. 122
Formation energy (no corrections)   -0.730 eV/f.u.
Fermi-level density of states   2.2 states/eV/cell
Volume   29.805 Å³/atom

abc: 5.7770 5.7770 8.2297
angles: 69.45 69.45 90.00
Atoms (fractional coordinates):
S (0.3750, 0.3973, 0.7500)
Cd (0.2500, 0.7500, 0.5000)
S (0.6027, 0.1250, 0.2500)
S (0.8750, 0.8527, 0.7500)
Bi (0.7500, 0.2500, 0.5000)
Bi (0.0000, 0.0000, 0.0000)
S (0.1473, 0.6250, 0.2500)
Cd (0.5000, 0.5000, 0.0000)